Si4WO10 | SCAN | PBEsol geometry

raw formation energy	-2668	meV per atom
spin magnetization	0.004	μB per atom

Cell and atoms, written as CIF:
```
data_Si4WO10
_cell_length_a 7.583
_cell_length_b 7.583
_cell_length_c 16.216
_cell_angle_alpha 90.00
_cell_angle_beta 90.00
_cell_angle_gamma 90.00
_symmetry_space_group_name_H-M 'P 4/n c c'
_symmetry_Int_Tables_number 130
loop_
_symmetry_equiv_pos_as_xyz
'x,y,z'
'-x,-y,-z'
'-y+1/2,x,z'
'y+1/2,-x,-z'
'-x+1/2,-y+1/2,z'
'x+1/2,y+1/2,-z'
'y,-x+1/2,z'
'-y,x+1/2,-z'
'x+1/2,-y,-z+1/2'
'-x+1/2,y,z+1/2'
'-y,-x,-z+1/2'
'y,x,z+1/2'
'-x,y+1/2,-z+1/2'
'x,-y+1/2,z+1/2'
'y+1/2,x+1/2,-z+1/2'
'-y+1/2,-x+1/2,z+1/2'
loop_
_atom_site_label
_atom_site_type_symbol
_atom_site_fract_x
_atom_site_fract_y
_atom_site_fract_z
_atom_site_occupancy
Si1 Si 0.032 0.059 0.155 1
W1 W 0.250 0.250 0.416 1
O1 O 0.002 0.234 0.636 1
O2 O 0.017 0.517 0.250 1
O3 O 0.057 0.098 0.404 1
```